Here is a relaxed Sb2PtWO crystal from Alexandria. Energies are from PBE with a Hubbard U.

a b c (Å): 4.780 4.780 4.269
angles (deg): 90.00 90.00 90.00
Sites, in units of the cell vectors:
Sb 0.000 0.500 0.000
Sb 0.500 0.000 0.000
Pt 0.000 0.000 0.500
W 0.500 0.500 0.500
O 0.500 0.500 0.000

Results
magnetic moment = 3.472 μB per cell
calculated total energy = -5.1037 eV per atom
theoretical density = 10.9 g/cm3